1.
First-principles (PBE) data for a relaxed structure of CuTeAsW2, as listed in the Alexandria database.

Output
**Total energy**: -5.683 eV/atom

abc: 4.651 5.343 4.651
angles: 90.00 90.00 90.00
Sites, in units of the cell vectors:
As1 0.000 0.000 0.000
Te1 0.000 0.500 0.000
Cu1 0.500 0.500 0.500
W1 0.000 0.000 0.500
W2 0.500 0.000 0.000


2.
First-principles (PBE) data for a relaxed structure of Cs2SrTaSe4, as listed in the Alexandria database.

Output
**Total energy**: -4.767 eV/atom

abc: 7.555 7.555 7.555
angles: 101.75 113.47 113.47
Sites, in units of the cell vectors:
Cs1 0.500 0.750 0.250
Cs2 0.000 0.000 0.000
Sr1 0.500 0.250 0.750
Ta1 0.000 0.500 0.500
Se1 0.633 0.413 0.466
Se2 0.053 0.219 0.587
Se3 0.947 0.534 0.167
Se4 0.367 0.833 0.781


3.
First-principles (PBE) data for a relaxed structure of GdThGaIr, as listed in the Alexandria database.

Output
**E_form**: -564 meV per atom

abc: 5.087 5.087 5.087
angles: 60.00 60.00 60.00
Sites, in units of the cell vectors:
Gd1 0.250 0.250 0.250
Ir1 0.500 0.500 0.500
Ga1 0.000 0.000 0.000
Th1 0.750 0.750 0.750


4.
First-principles (PBE) data for a relaxed structure of Sr2PaRu3O12, as listed in the Alexandria database.

Output
**Total energy**: -7.380 eV/atom

abc: 7.636 7.636 7.636
angles: 57.30 57.30 57.30
Sites, in units of the cell vectors:
Sr1 0.702 0.702 0.702
Sr2 0.298 0.298 0.298
Pa1 0.000 0.000 0.000
Ru1 0.500 0.000 0.000
Ru2 0.000 0.500 0.000
Ru3 0.000 0.000 0.500
O1 0.301 0.301 0.931
O2 0.916 0.916 0.352
O3 0.352 0.916 0.916
O4 0.931 0.301 0.301
O5 0.916 0.352 0.916
O6 0.301 0.931 0.301
O7 0.699 0.699 0.069
O8 0.084 0.084 0.648
O9 0.648 0.084 0.084
O10 0.069 0.699 0.699
O11 0.084 0.648 0.084
O12 0.699 0.069 0.699


Fermi-level density of states / states/eV/cell: 4.847 3.558 3.686 9.136